Here is a relaxed TbHoSb crystal from Alexandria. Energies are from PBE-GGA.

POSCAR file:
```
TbHoSb
1.0
-3.8582 -0.2310 -1.0376
-0.6394 -3.8234 3.2287
-0.7003 4.7509 1.5459
Sb Tb Ho
1 1 1
direct
0.3027 0.3333 0.6667 Sb
0.6128 0.6667 0.3333 Tb
0.0844 0.0000 0.0000 Ho
```

Values from the calculation:
The uncorrected energy comes out at -14.60 eV for the cell shown. Its formation energy without anion corrections is -0.424 eV per atom. For the total moment, the calculation gives 0.00 Bohr magnetons per cell. Its space group is P3m1, No. 156. As for the density of states at the Fermi level: 2.88 states/eV per cell.


Here is a relaxed Tb3HoSb2 crystal from Alexandria. Energies are from PBE-GGA.

POSCAR file:
```
Tb3HoSb2
1.0
4.4778 0.0000 0.0000
0.0000 4.4778 0.0000
0.0000 0.0000 8.5045
Tb Ho Sb
3 1 2
direct
0.5000 0.0000 0.3512 Tb
0.0000 0.5000 0.6488 Tb
0.0000 0.0000 0.0000 Tb
0.5000 0.5000 0.0000 Ho
0.5000 0.0000 0.7205 Sb
0.0000 0.5000 0.2795 Sb
```

Values from the calculation:
For the relative energy among the computed polymorphs, the calculation gives 0 meV per atom. The uncorrected energy comes out at -31.55 eV for the cell shown. Its formation energy without anion corrections is -0.806 eV per atom. For the total moment, the calculation gives 0.00 Bohr magnetons per cell. Its space group is P-4m2, No. 115. As for the density of states at the Fermi level: 4.36 states/eV per cell.


Here is a relaxed TbHo5Sb6 crystal from Alexandria. Energies are from PBE-GGA.

POSCAR file:
```
TbHo5Sb6
1.0
7.5706 0.2071 0.0000
2.3300 7.2086 0.0000
1.1650 3.6043 6.5605
Tb Ho Sb
1 5 6
direct
0.0000 0.0000 0.0000 Tb
0.5000 0.1659 0.6681 Ho
0.0000 0.3330 0.3340 Ho
0.5000 0.5000 0.0000 Ho
0.0000 0.6670 0.6660 Ho
0.5000 0.8341 0.3319 Ho
0.7490 0.0838 0.3346 Sb
0.2510 0.5816 0.3346 Sb
0.2502 0.2514 0.0000 Sb
0.7498 0.7486 0.0000 Sb
0.7490 0.4184 0.6654 Sb
0.2510 0.9162 0.6654 Sb
```

Values from the calculation:
The uncorrected energy comes out at -65.69 eV for the cell shown. Its formation energy without anion corrections is -1.119 eV per atom. For the total moment, the calculation gives 0.00 Bohr magnetons per cell. Its space group is C2/m, No. 12. As for the density of states at the Fermi level: 2.03 states/eV per cell.


Here is a relaxed Tb5Ho2Sb4 crystal from Alexandria. Energies are from PBE-GGA.

POSCAR file:
```
Tb5Ho2Sb4
1.0
3.6217 0.0000 0.0000
0.0000 7.1566 -1.5380
-1.8109 -4.7501 14.2820
Tb Ho Sb
5 2 4
direct
0.0906 0.8756 0.1812 Tb
0.9094 0.1244 0.8188 Tb
0.1403 0.4437 0.2806 Tb
0.5000 0.0000 0.0000 Tb
0.8597 0.5563 0.7194 Tb
0.7639 0.7452 0.5278 Ho
0.2361 0.2548 0.4722 Ho
0.6739 0.8487 0.3478 Sb
0.9679 0.6149 0.9357 Sb
0.3261 0.1513 0.6522 Sb
0.0321 0.3851 0.0643 Sb
```

Values from the calculation:
The uncorrected energy comes out at -53.66 eV for the cell shown. Its formation energy without anion corrections is -0.442 eV per atom. For the total moment, the calculation gives 0.00 Bohr magnetons per cell. Its space group is C2/m, No. 12. As for the density of states at the Fermi level: 12.05 states/eV per cell.